[1]
Entry from Alexandria via LeMat-Bulk: an optimized crystal structure of CuSnO12 (PBE).

a b c (Å): 9.080 9.080 8.041
angles (deg): 90.00 90.00 90.00
Space group P4_2/nnm (No. 134, origin choice 2)
Asymmetric unit:
Cu 0.250 0.750 0.250 [2 per cell]
Sn 0.250 0.750 0.750 [2 per cell]
O 0.090 0.196 0.703 [16 per cell]
O 0.192 0.692 0.477 [8 per cell]

Formation energy without anion corrections, eV per atom: 0.10


[2]
Entry from Alexandria via LeMat-Bulk: an optimized crystal structure of VInCuS2 (PBE).

a b c (Å): 4.588 4.588 4.806
angles (deg): 90.00 90.00 90.00
Space group P4/mmm (No. 123)
Asymmetric unit:
V 0.000 0.000 0.000 [1 per cell]
In 0.500 0.500 0.000 [1 per cell]
Cu 0.000 0.000 0.500 [1 per cell]
S 0.000 0.500 0.500 [2 per cell]

Formation energy without anion corrections, eV per atom: 0.53


[3]
Entry from Alexandria via LeMat-Bulk: an optimized crystal structure of Pr2HoHgSe5 (PBE).

a b c (Å): 4.118 17.871 12.828
angles (deg): 90.00 90.00 90.00
Space group Cmc2_1 (No. 36)
Asymmetric unit:
Pr 0.000 0.118 0.000 [4 per cell]
Pr 0.000 0.134 0.625 [4 per cell]
Ho 0.000 0.198 0.325 [4 per cell]
Hg 0.000 0.459 0.779 [4 per cell]
Se 0.000 0.047 0.406 [4 per cell]
Se 0.000 0.288 0.981 [4 per cell]
Se 0.000 0.306 0.666 [4 per cell]
Se 0.000 0.356 0.317 [4 per cell]
Se 0.000 0.496 0.088 [4 per cell]

Formation energy without anion corrections, eV per atom: -1.46


[4]
Entry from Alexandria via LeMat-Bulk: an optimized crystal structure of Sr3Mo (PBE).

a b c (Å): 3.8815 3.8815 11.9915
angles (deg): 90.00 90.00 120.00
Space group P-6m2 (No. 187)
Asymmetric unit:
Sr 0.0000 0.0000 0.0000 [1 per cell]
Sr 0.6667 0.3333 0.3056 [2 per cell]
Mo 0.0000 0.0000 0.5000 [1 per cell]

Energy of formation, kJ per mole of atoms: 84.47
ΔE to the lowest computed polymorph, eV per atom: 0.1495


[5]
Entry from Alexandria via LeMat-Bulk: an optimized crystal structure of Rb3Sr2PaTe6 (PBE).

a b c (Å): 8.234 14.254 8.927
angles (deg): 90.00 107.97 90.00
Space group C2/m (No. 12)
Asymmetric unit:
Rb 0.000 0.000 0.000 [2 per cell]
Rb 0.000 0.327 0.000 [4 per cell]
Sr 0.000 0.166 0.500 [4 per cell]
Pa 0.000 0.500 0.500 [2 per cell]
Te 0.221 0.347 0.704 [8 per cell]
Te 0.235 0.500 0.295 [4 per cell]

Formation energy without anion corrections, eV per atom: -1.29


[6]
Entry from Alexandria via LeMat-Bulk: an optimized crystal structure of CaC12 (PBE).

a b c (Å): 6.741 7.134 4.538
angles (deg): 90.00 90.00 90.00
Space group Cmmm (No. 65)
Asymmetric unit:
Ca 0.000 0.000 0.000 [2 per cell]
C 0.105 0.305 0.000 [8 per cell]
C 0.229 0.096 0.500 [8 per cell]
C 0.250 0.250 0.250 [8 per cell]

Energy of formation, kJ per mole of atoms: 76.22


[7]
Entry from Alexandria via LeMat-Bulk: an optimized crystal structure of TcNiSeCl2 (PBE).

a b c (Å): 4.694 4.694 5.203
angles (deg): 90.00 90.00 90.00
Space group P4/mmm (No. 123)
Asymmetric unit:
Tc 0.000 0.000 0.000 [1 per cell]
Ni 0.500 0.500 0.500 [1 per cell]
Se 0.000 0.000 0.500 [1 per cell]
Cl 0.000 0.500 0.000 [2 per cell]

Formation energy without anion corrections, eV per atom: 0.51


[8]
Entry from Alexandria via LeMat-Bulk: an optimized crystal structure of BaUZnN3 (PBE).

a b c (Å): 7.734 3.608 7.800
angles (deg): 90.00 105.95 90.00
Space group P2_1/m (No. 11)
Asymmetric unit:
Ba 0.210 0.250 0.238 [2 per cell]
U 0.332 0.750 0.844 [2 per cell]
Zn 0.082 0.250 0.604 [2 per cell]
N 0.158 0.250 0.871 [2 per cell]
N 0.192 0.750 0.541 [2 per cell]
N 0.469 0.750 0.133 [2 per cell]

Formation energy without anion corrections, eV per atom: -0.80